GGA-PBEsol ScCoAg2C, relaxed; Fermi-level density of states = 3.52 states/eV per cell; ΔE_f = 1698 meV per atom; symmetry = P4/mmm, No. 123; electronic total energy = -22.12 eV/cell
1.0
4.6422 0.0000 0.0000
0.0000 4.6422 0.0000
0.0000 0.0000 4.3817
Sc Co Ag C
1 1 2 1
Direct
0.0000 0.0000 0.0000
0.0000 0.0000 0.5000
0.0000 0.5000 0.5000
0.5000 0.0000 0.5000
0.5000 0.5000 0.0000

GGA-PBEsol Y2CoAgC, relaxed; Fermi-level density of states = 4.07 states/eV per cell; ΔE_f = 1132 meV per atom; symmetry = P4/mmm, No. 123; electronic total energy = -28.68 eV/cell
1.0
5.3961 0.0000 0.0000
0.0000 5.3961 0.0000
0.0000 0.0000 3.7811
Y Co Ag C
2 1 1 1
Direct
0.0000 0.5000 0.0000
0.5000 0.0000 0.0000
0.0000 0.0000 0.5000
0.5000 0.5000 0.0000
0.5000 0.5000 0.5000

GGA-PBEsol CrAgRuC2, relaxed; Fermi-level density of states = 5.91 states/eV per cell; ΔE_f = 2931 meV per atom; symmetry = P4/mmm, No. 123; electronic total energy = -28.36 eV/cell
1.0
3.8678 0.0000 0.0000
0.0000 3.8678 0.0000
0.0000 0.0000 5.0783
Cr Ag Ru C
1 1 1 2
Direct
0.0000 0.0000 0.0000
0.5000 0.5000 0.5000
0.5000 0.5000 0.0000
0.0000 0.5000 0.5000
0.5000 0.0000 0.5000

GGA-PBEsol Cs3AgC, relaxed; Fermi-level density of states = 3.28 states/eV per cell; ΔE_f = 979 meV per atom; symmetry = Pm-3m, No. 221; electronic total energy = -10.89 eV/cell
1.0
6.1762 0.0000 0.0000
0.0000 6.1762 0.0000
0.0000 0.0000 6.1762
Cs Ag C
3 1 1
Direct
0.0000 0.0000 0.5000
0.0000 0.5000 0.0000
0.5000 0.0000 0.0000
0.5000 0.5000 0.5000
0.0000 0.0000 0.0000

GGA-PBEsol CuAgC2, relaxed; Fermi-level density of states = 1.93 states/eV per cell; ΔE_f = 2110 meV per atom; symmetry = Fm-3m, No. 225; electronic total energy = -18.49 eV/cell
1.0
0.0000 2.7303 2.7303
2.7303 0.0000 2.7303
2.7303 2.7303 0.0000
Cu Ag C
1 1 2
Direct
0.0000 0.0000 0.0000
0.5000 0.5000 0.5000
0.2500 0.2500 0.2500
0.7500 0.7500 0.7500

GGA-PBEsol Fe2CuAgC, relaxed; Fermi-level density of states = 3.56 states/eV per cell; ΔE_f = 409 meV per atom; symmetry = P4/mmm, No. 123; electronic total energy = -33.17 eV/cell
1.0
3.6937 0.0000 0.0000
0.0000 3.6937 0.0000
0.0000 0.0000 4.2731
Fe Cu Ag C
2 1 1 1
Direct
0.0000 0.5000 0.0000
0.5000 0.0000 0.0000
0.0000 0.0000 0.5000
0.5000 0.5000 0.5000
0.5000 0.5000 0.0000

> Which value of Fermi-level density of states does entry 4 give?

3.28 states/eV per cell